DFT (GGA-PBE) results for a geometry-optimized HoTmAu6 structure.

a b c (Å): 5.0134 6.1226 5.1234
angles (deg): 90.00 90.00 90.00
With the nearest neighbours (Å) after each atom.
Fractional positions:
Ho (0.0000, 0.0000, 0.0000)  12 Au 2.98-3.07
Tm (0.5000, 0.5000, 0.3131)  12 Au 2.97-3.06
Au (0.0000, 0.2568, 0.4943)  8 Au 2.96-3.15, 2 Ho 2.98-3.03, 2 Tm 3.06
Au (0.0000, 0.5000, 0.9937)  8 Au 2.96-3.08, 2 Tm 2.99, 2 Ho 3.06
Au (0.0000, 0.7432, 0.4943)  8 Au 2.96-3.15, 2 Ho 2.98-3.03, 2 Tm 3.06
Au (0.5000, 0.0000, 0.3231)  8 Au 2.96-3.09, 2 Ho 3.00, 2 Tm 3.06
Au (0.5000, 0.2471, 0.8192)  8 Au 2.96-3.10, 2 Tm 2.97-3.02, 2 Ho 3.07
Au (0.5000, 0.7529, 0.8192)  8 Au 2.96-3.10, 2 Tm 2.97-3.02, 2 Ho 3.07

Summary:
Space-group type: Pmm2, No. 25
DFT formation energy in eV/f.u.: -5.83
Total energy in eV/atom: -4.311

---

DFT (GGA-PBE) results for a geometry-optimized HoTmAu structure.

a b c (Å): 7.0578 4.8976 8.8194
angles (deg): 90.00 90.00 90.00
With the nearest neighbours (Å) after each atom.
Fractional positions:
Ho (0.0143, 0.2500, 0.1769)  3 Au 2.93-3.13
Ho (0.4857, 0.7500, 0.6769)  3 Au 2.93-3.13
Ho (0.5143, 0.2500, 0.3231)  3 Au 2.93-3.13
Ho (0.9857, 0.7500, 0.8231)  3 Au 2.93-3.13
Tm (0.1484, 0.2500, 0.5795)  4 Au 2.86-3.01
Tm (0.3516, 0.7500, 0.0795)  4 Au 2.86-3.01
Tm (0.6484, 0.2500, 0.9205)  4 Au 2.86-3.01
Tm (0.8516, 0.7500, 0.4205)  4 Au 2.86-3.01
Au (0.2443, 0.2500, 0.9005)  4 Tm 2.86-3.01, 3 Ho 2.93-3.13
Au (0.2557, 0.7500, 0.4005)  4 Tm 2.86-3.01, 3 Ho 2.93-3.13
Au (0.7443, 0.2500, 0.5995)  4 Tm 2.86-3.01, 3 Ho 2.93-3.13
Au (0.7557, 0.7500, 0.0995)  4 Tm 2.86-3.01, 3 Ho 2.93-3.13

Summary:
Space-group type: Pnma, No. 62
DFT formation energy in eV/f.u.: -1.98
Total energy in eV/atom: -4.766

---

DFT (GGA-PBE) results for a geometry-optimized HoTm2Zn3Au3 structure.

a b c (Å): 3.9562 7.3454 7.3454
angles (deg): 120.15 90.00 90.00
With the nearest neighbours (Å) after each atom.
Fractional positions:
Ho (0.0000, 0.0000, 0.0000)  5 Au 2.99-3.00, 6 Zn 3.18-3.28
Tm (0.0000, 0.1849, 0.5920)  5 Au 2.97-2.98, 6 Zn 3.20-3.28
Tm (0.0000, 0.5920, 0.1849)  5 Au 2.97-2.98, 6 Zn 3.20-3.28
Zn (0.5000, 0.3405, 0.3405)  4 Au 2.69-2.81
Zn (0.5000, 0.5921, 0.8429)  4 Au 2.71-2.80
Zn (0.5000, 0.8429, 0.5921)  4 Au 2.71-2.80
Au (0.0000, 0.5901, 0.5901)  6 Zn 2.69-2.71, 2 Tm 2.98, 1 Ho 3.00
Au (0.5000, 0.2606, 0.9247)  3 Zn 2.79-2.81, 4 Tm 2.97, 2 Ho 2.99
Au (0.5000, 0.9247, 0.2606)  3 Zn 2.79-2.81, 4 Tm 2.97, 2 Ho 2.99

Summary:
Space-group type: Amm2, No. 38
DFT formation energy in eV/f.u.: -6.24
Total energy in eV/atom: -3.706

---

DFT (GGA-PBE) results for a geometry-optimized HoTmZn2Au4 structure.

a b c (Å): 4.7987 4.7987 6.7848
angles (deg): 90.00 90.00 90.00
With the nearest neighbours (Å) after each atom.
Fractional positions:
Ho (0.0000, 0.0000, 0.0000)  8 Au 2.94
Tm (0.5000, 0.5000, 0.5000)  8 Au 2.93
Zn (0.0000, 0.0000, 0.5000)  8 Au 2.93
Zn (0.5000, 0.5000, 0.0000)  8 Au 2.94
Au (0.0000, 0.5000, 0.2512)  2 Tm 2.93, 4 Zn 2.93-2.94, 2 Ho 2.94
Au (0.0000, 0.5000, 0.7488)  2 Tm 2.93, 4 Zn 2.93-2.94, 2 Ho 2.94
Au (0.5000, 0.0000, 0.2512)  2 Tm 2.93, 4 Zn 2.93-2.94, 2 Ho 2.94
Au (0.5000, 0.0000, 0.7488)  2 Tm 2.93, 4 Zn 2.93-2.94, 2 Ho 2.94

Summary:
Space-group type: P4/mmm, No. 123
DFT formation energy in eV/f.u.: -5.18
Total energy in eV/atom: -3.728

---

DFT (GGA-PBE) results for a geometry-optimized Ho2TmZn3Au3 structure.

a b c (Å): 3.9048 7.3925 7.3925
angles (deg): 119.86 90.00 90.00
With the nearest neighbours (Å) after each atom.
Fractional positions:
Ho (0.0000, 0.2030, 0.7970)  5 Au 2.98-3.01, 6 Zn 3.18-3.28
Ho (0.0000, 0.7970, 0.2030)  5 Au 2.98-3.01, 6 Zn 3.18-3.28
Tm (0.0000, 0.3917, 0.3917)  5 Au 2.96-2.99, 6 Zn 3.19-3.27
Zn (0.5000, 0.0507, 0.0507)  4 Au 2.72-2.80
Zn (0.5000, 0.5428, 0.7970)  4 Au 2.71-2.82
Zn (0.5000, 0.7970, 0.5428)  4 Au 2.71-2.82
Au (0.0000, 0.7952, 0.7952)  6 Zn 2.71-2.72, 1 Tm 2.99, 2 Ho 3.01
Au (0.5000, 0.1324, 0.4630)  3 Zn 2.80-2.82, 2 Tm 2.96, 4 Ho 2.98
Au (0.5000, 0.4630, 0.1324)  3 Zn 2.80-2.82, 2 Tm 2.96, 4 Ho 2.98

Summary:
Space-group type: Amm2, No. 38
DFT formation energy in eV/f.u.: -6.24
Total energy in eV/atom: -3.718

---

DFT (GGA-PBE) results for a geometry-optimized YHoAu4 structure.

a b c (Å): 9.7809 3.7252 7.4531
angles (deg): 90.00 112.38 90.00
With the nearest neighbours (Å) after each atom.
Fractional positions:
Y (0.0000, 0.0000, 0.0000)  10 Au 3.03-3.04
Y (0.5000, 0.5000, 0.0000)  10 Au 3.03-3.04
Ho (0.0000, 0.0000, 0.5000)  10 Au 3.01-3.03
Ho (0.5000, 0.5000, 0.5000)  10 Au 3.01-3.03
Au (0.1652, 0.5000, 0.3346)  5 Au 2.98-3.05, 3 Ho 3.02-3.03, 2 Y 3.04
Au (0.1645, 0.5000, 0.8296)  5 Au 2.98-3.08, 2 Ho 3.01, 3 Y 3.03-3.04
Au (0.3355, 0.0000, 0.1704)  5 Au 2.98-3.08, 2 Ho 3.01, 3 Y 3.03-3.04
Au (0.3348, 0.0000, 0.6654)  5 Au 2.98-3.05, 3 Ho 3.02-3.03, 2 Y 3.04
Au (0.6652, 0.0000, 0.3346)  5 Au 2.98-3.05, 3 Ho 3.02-3.03, 2 Y 3.04
Au (0.6645, 0.0000, 0.8296)  5 Au 2.98-3.08, 2 Ho 3.01, 3 Y 3.03-3.04
Au (0.8355, 0.5000, 0.1704)  5 Au 2.98-3.08, 2 Ho 3.01, 3 Y 3.03-3.04
Au (0.8348, 0.5000, 0.6654)  5 Au 2.98-3.05, 3 Ho 3.02-3.03, 2 Y 3.04

Summary:
Space-group type: C2/m, No. 12
DFT formation energy in eV/f.u.: -5.22
Total energy in eV/atom: -4.889

---

Which formula does entry 1 have? HoTmAu6

---

Which of these has the lowest total energy? YHoAu4

---

What is the DFT formation energy in the second record? -1.98 eV/f.u.

---

Repeat the second record exactly.
DFT (GGA-PBE) results for a geometry-optimized HoTmAu structure.

a b c (Å): 7.0578 4.8976 8.8194
angles (deg): 90.00 90.00 90.00
With the nearest neighbours (Å) after each atom.
Fractional positions:
Ho (0.0143, 0.2500, 0.1769)  3 Au 2.93-3.13
Ho (0.4857, 0.7500, 0.6769)  3 Au 2.93-3.13
Ho (0.5143, 0.2500, 0.3231)  3 Au 2.93-3.13
Ho (0.9857, 0.7500, 0.8231)  3 Au 2.93-3.13
Tm (0.1484, 0.2500, 0.5795)  4 Au 2.86-3.01
Tm (0.3516, 0.7500, 0.0795)  4 Au 2.86-3.01
Tm (0.6484, 0.2500, 0.9205)  4 Au 2.86-3.01
Tm (0.8516, 0.7500, 0.4205)  4 Au 2.86-3.01
Au (0.2443, 0.2500, 0.9005)  4 Tm 2.86-3.01, 3 Ho 2.93-3.13
Au (0.2557, 0.7500, 0.4005)  4 Tm 2.86-3.01, 3 Ho 2.93-3.13
Au (0.7443, 0.2500, 0.5995)  4 Tm 2.86-3.01, 3 Ho 2.93-3.13
Au (0.7557, 0.7500, 0.0995)  4 Tm 2.86-3.01, 3 Ho 2.93-3.13

Summary:
Space-group type: Pnma, No. 62
DFT formation energy in eV/f.u.: -1.98
Total energy in eV/atom: -4.766